(1)
Compound: TiPb2Cl2
Source: Alexandria
Functional: PBE-GGA
Structure: optimized geometry

Computed properties:
As for the formation energy from raw total energies: -0.021 eV per atom. Its total energy is -3.82 eV per atom. The calculation puts the offset from the most stable computed form at 0 meV/atom.

extended XYZ file:
```
10
Lattice="8.686 0.000 0.000 0.000 8.686 0.000 0.000 0.000 3.436" Properties=species:S:1:pos:R:3 pbc="T T T"
Pb 1.681 6.025 1.718
Pb 6.025 7.005 1.718
Pb 7.005 2.662 1.718
Pb 2.662 1.681 1.718
Cl 3.280 7.623 0.000
Cl 7.623 5.407 0.000
Cl 5.407 1.064 0.000
Cl 1.064 3.280 0.000
Ti 0.000 0.000 0.000
Ti 4.343 4.343 0.000
```

(2)
Compound: Ba4MgIn
Source: Alexandria
Functional: PBE-GGA
Structure: optimized geometry

Computed properties:
Its energy of formation is 327 meV per atom. Its total energy is -1.68 eV per atom. The calculation puts the offset from the most stable computed form at 501 meV/atom.

extended XYZ file:
```
6
Lattice="0.000 5.221 5.221 5.221 0.000 5.221 5.221 5.221 0.000" Properties=species:S:1:pos:R:3 pbc="T T T"
Ba 3.921 6.520 6.520
Ba 6.520 6.520 3.921
Ba 6.520 3.921 6.520
Ba 3.921 3.921 3.921
Mg 0.000 0.000 0.000
In 7.831 7.831 7.831
```

(3)
Compound: SrLuAlAg
Source: Alexandria
Functional: PBE-GGA
Structure: optimized geometry

Computed properties:
Its energy of formation is -164 meV per atom. Its total energy is -3.36 eV per atom.

extended XYZ file:
```
4
Lattice="5.287 0.000 0.000 2.644 4.579 0.000 2.644 1.526 4.317" Properties=species:S:1:pos:R:3 pbc="T T T"
Sr 5.287 3.053 2.159
Lu 0.000 0.000 0.000
Al 7.931 4.579 3.238
Ag 2.644 1.526 1.079
```

(4)
Compound: Na3ReN8
Source: Alexandria
Functional: PBE-GGA
Structure: optimized geometry

Computed properties:
As for the formation energy from raw total energies: 0.167 eV per atom. Its total energy is -6.75 eV per atom.

extended XYZ file:
```
12
Lattice="-1.908 -1.589 5.901 -0.940 -3.911 -4.981 6.200 0.087 -1.596" Properties=species:S:1:pos:R:3 pbc="T T T"
Na -0.109 -3.706 -1.184
Na 3.461 -1.707 0.509
Na 2.630 -1.912 -3.288
Re 0.000 0.000 0.000
N 0.224 -1.535 1.339
N 2.911 -3.722 -1.744
N 0.813 -3.069 -4.336
N 4.663 -0.913 -2.511
N 0.907 -1.952 0.392
N 3.632 -4.325 -2.553
N 0.016 -2.612 -3.503
N 4.056 -0.349 -1.588
```

(5)
Compound: GaPAu2
Source: Alexandria
Functional: PBE-GGA
Structure: optimized geometry

Computed properties:
Its energy of formation is -5 meV per atom. Its total energy is -3.75 eV per atom. The calculation puts the offset from the most stable computed form at 0 meV/atom.

extended XYZ file:
```
8
Lattice="-1.825 -3.956 2.048 3.087 0.473 3.663 -4.319 2.423 6.489" Properties=species:S:1:pos:R:3 pbc="T T T"
P 0.631 -1.741 2.856
P -0.300 0.577 6.504
Au -1.734 -1.589 3.247
Au 0.521 0.189 4.281
Au -2.596 0.537 7.211
Au -2.305 -1.256 9.663
Ga 0.000 0.000 0.000
Ga -2.756 -1.637 5.697
```

(6)
Compound: Nd2Sm4ErTh
Source: Alexandria
Functional: PBE-GGA
Structure: optimized geometry

Computed properties:
Its energy of formation is 136 meV per atom. Its total energy is -4.91 eV per atom.

extended XYZ file:
```
8
Lattice="-5.711 0.974 1.754 1.328 -2.131 5.507 3.145 4.621 7.672" Properties=species:S:1:pos:R:3 pbc="T T T"
Nd 3.145 4.621 7.672
Nd -1.283 2.798 4.713
Sm 3.360 1.887 9.890
Sm -4.598 1.578 5.043
Sm -1.078 0.028 6.918
Sm -0.160 3.437 8.016
Er 2.236 1.245 6.590
Th -2.191 -0.579 3.631
```

(7)
Compound: ZrBeSi3
Source: Alexandria
Functional: PBE-GGA
Structure: optimized geometry

Computed properties:
As for the formation energy from raw total energies: 1.301 eV per atom. Its total energy is -4.41 eV per atom. The calculation puts the offset from the most stable computed form at 830 meV/atom.

extended XYZ file:
```
5
Lattice="-1.827 2.922 -3.735 -4.718 -0.719 1.746 0.475 4.095 2.972" Properties=species:S:1:pos:R:3 pbc="T T T"
Be -3.035 3.149 0.491
Si -2.359 -0.360 0.873
Si 0.238 2.047 1.486
Si -0.914 1.461 -1.867
Zr 0.000 0.000 0.000
```

(8)
Compound: NaBi2Pb5
Source: Alexandria
Functional: PBE-GGA
Structure: optimized geometry

Computed properties:
Its energy of formation is -13 meV per atom. Its total energy is -3.47 eV per atom. The calculation puts the offset from the most stable computed form at 58 meV/atom.

extended XYZ file:
```
16
Lattice="5.812 0.000 0.000 -2.906 6.585 0.000 0.000 0.000 13.635" Properties=species:S:1:pos:R:3 pbc="T T T"
Na 2.906 2.694 10.227
Na 0.000 3.891 3.409
Bi 2.906 4.279 5.106
Bi 2.906 4.279 1.712
Bi 0.000 2.306 8.529
Bi 0.000 2.306 11.924
Pb 2.906 5.677 12.062
Pb 2.906 5.677 8.392
Pb 0.000 4.933 6.626
Pb 0.000 4.933 0.191
Pb 2.906 1.154 3.409
Pb 0.000 5.431 10.227
Pb 2.906 1.652 7.009
Pb 2.906 1.652 13.444
Pb 0.000 0.908 1.574
Pb 0.000 0.908 5.244
```

(9)
Compound: LiZrPd
Source: Alexandria
Functional: PBE-GGA
Structure: optimized geometry

Computed properties:
Its energy of formation is -407 meV per atom. Its total energy is -5.63 eV per atom. The calculation puts the offset from the most stable computed form at 0 meV/atom.

extended XYZ file:
```
6
Lattice="-2.801 -1.461 1.597 2.130 -2.323 1.611 0.926 5.398 6.560" Properties=species:S:1:pos:R:3 pbc="T T T"
Li 0.128 0.807 4.884
Li 0.463 2.699 3.280
Zr 1.881 3.591 6.581
Zr -1.290 -0.085 1.583
Pd 1.307 0.250 2.520
Pd -0.716 3.256 5.644
```

(10)
Compound: Dy2Mg15Cd2
Source: Alexandria
Functional: PBE-GGA
Structure: optimized geometry

Computed properties:
Its energy of formation is -40 meV per atom. Its total energy is -1.88 eV per atom.

extended XYZ file:
```
19
Lattice="7.665 0.034 1.041 0.914 7.610 1.041 0.038 0.034 7.735" Properties=species:S:1:pos:R:3 pbc="T T T"
Dy 2.794 2.490 3.183
Dy 5.823 5.189 6.634
Mg 3.832 0.017 0.521
Mg 0.019 0.017 3.868
Mg 0.457 3.805 0.521
Mg 0.647 5.303 3.080
Mg 5.609 2.341 1.041
Mg 2.361 0.034 5.697
Mg 2.970 5.303 1.041
Mg 5.342 0.034 3.080
Mg 0.305 2.341 5.697
Mg 1.843 4.954 5.848
Mg 5.559 4.954 2.586
Mg 5.133 1.262 5.848
Mg 6.774 2.724 3.970
Mg 3.057 2.724 7.232
Mg 3.484 6.416 3.970
Cd 0.863 0.769 0.983
Cd 7.754 6.909 8.835
```

(11)
Compound: LuHf2Mn
Source: Alexandria
Functional: PBE-GGA
Structure: optimized geometry

Computed properties:
Its energy of formation is 47 meV per atom. Its total energy is -8.35 eV per atom. The calculation puts the offset from the most stable computed form at 0 meV/atom.

extended XYZ file:
```
4
Lattice="-1.629 2.569 -0.966 -2.643 -1.166 1.356 1.896 3.831 6.988" Properties=species:S:1:pos:R:3 pbc="T T T"
Lu -1.188 2.617 3.689
Hf 1.547 3.127 5.704
Hf 0.348 0.704 1.284
Mn -2.136 0.701 0.195
```

(12)
Compound: MgTa2P
Source: Alexandria
Functional: PBE-GGA
Structure: optimized geometry

Computed properties:
Its energy of formation is 125 meV per atom. Its total energy is -7.55 eV per atom. The calculation puts the offset from the most stable computed form at 223 meV/atom.

extended XYZ file:
```
4
Lattice="-4.818 1.467 -1.032 -2.649 -3.206 -3.023 2.841 -0.495 4.257" Properties=species:S:1:pos:R:3 pbc="T T T"
Mg -3.734 -0.869 -2.028
P -2.856 0.051 0.598
Ta 0.000 0.000 0.000
Ta -1.771 -2.285 -0.397
```